A geometry-optimized NaTl2AgCl6 structure, computed with PBE.

Calculated values
space group	No. 225
calculated total energy	-2.782	eV per atom
theoretical density	4.52	g cm⁻³

Cell: 7.309 7.309 7.309 Å, 60.00 60.00 60.00°
Fractional positions:
Na1 0.000 0.000 0.000
Tl1 0.250 0.250 0.250
Tl2 0.750 0.750 0.750
Ag1 0.500 0.500 0.500
Cl1 0.259 0.259 0.741
Cl2 0.259 0.741 0.259
Cl3 0.259 0.741 0.741
Cl4 0.741 0.259 0.259
Cl5 0.741 0.259 0.741
Cl6 0.741 0.741 0.259

A geometry-optimized CsHfHg3O4 structure, computed with PBE.

Calculated values
space group	No. 215
calculated total energy	-4.684	eV per atom
theoretical density	7.17	g cm⁻³
spin magnetization	0.0	μB per formula unit

Cell: 6.095 6.095 6.095 Å, 90.00 90.00 90.00°
Fractional positions:
Cs1 0.000 0.000 0.000
Hf1 0.500 0.500 0.500
Hg1 0.000 0.500 0.500
Hg2 0.500 0.000 0.500
Hg3 0.500 0.500 0.000
O1 0.311 0.311 0.311
O2 0.311 0.689 0.689
O3 0.689 0.311 0.689
O4 0.689 0.689 0.311

A geometry-optimized PIrSe3S structure, computed with PBE.

Calculated values
space group	No. 1
calculated total energy	-4.798	eV per atom
theoretical density	5.87	g cm⁻³
spin magnetization	0.0	μB per formula unit

Cell: 5.014 5.595 6.162 Å, 63.24 66.91 88.93°
Fractional positions:
P1 0.000 0.000 0.000
Ir1 0.836 0.308 0.488
Se1 0.102 0.614 0.993
Se2 0.317 0.356 0.566
Se3 0.919 0.910 0.427
S1 0.628 0.110 0.954

A geometry-optimized ZrAgAu structure, computed with PBE.

Calculated values
space group	No. 216
calculated total energy	-4.765	eV per atom
offset from the most stable computed form	161	meV/atom
theoretical density	9.56	g cm⁻³
spin magnetization	0.0	μB per formula unit
energy of formation from the pure elements	0.114	eV per atom

Cell: 6.505 6.505 6.505 Å, 90.00 90.00 90.00°
Fractional positions:
Zr1 0.000 0.000 0.000
Zr2 0.000 0.500 0.500
Zr3 0.500 0.000 0.500
Zr4 0.500 0.500 0.000
Ag1 0.250 0.250 0.750
Ag2 0.250 0.750 0.250
Ag3 0.750 0.250 0.250
Ag4 0.750 0.750 0.750
Au1 0.250 0.250 0.250
Au2 0.250 0.750 0.750
Au3 0.750 0.250 0.750
Au4 0.750 0.750 0.250

A geometry-optimized Na3Tb2HoPb3 structure, computed with PBE.

Calculated values
space group	No. 187
calculated total energy	-3.425	eV per atom
theoretical density	7.90	g cm⁻³
spin magnetization	0.1	μB per formula unit

Cell: 5.210 5.210 10.486 Å, 90.00 90.00 120.00°
Fractional positions:
Na1 0.000 0.000 0.000
Na2 0.333 0.667 0.318
Na3 0.333 0.667 0.682
Tb1 0.667 0.333 0.167
Tb2 0.667 0.333 0.833
Ho1 0.667 0.333 0.500
Pb1 0.000 0.000 0.341
Pb2 0.000 0.000 0.659
Pb3 0.333 0.667 0.000

A geometry-optimized TlNiPdSe3 structure, computed with PBE.

Calculated values
space group	No. 11
calculated total energy	-4.196	eV per atom
theoretical density	7.64	g cm⁻³
spin magnetization	0.0	μB per formula unit

Cell: 7.617 3.583 10.060 Å, 90.00 106.26 90.00°
Fractional positions:
Tl1 0.013 0.250 0.297
Tl2 0.987 0.750 0.703
Ni1 0.424 0.250 0.111
Ni2 0.576 0.750 0.889
Pd1 0.489 0.750 0.333
Pd2 0.511 0.250 0.667
Se1 0.213 0.750 0.115
Se2 0.311 0.750 0.519
Se3 0.358 0.250 0.859
Se4 0.642 0.750 0.141
Se5 0.689 0.250 0.481
Se6 0.787 0.250 0.885

A geometry-optimized SmZrSc structure, computed with PBE.

Calculated values
space group	No. 216
calculated total energy	-5.525	eV per atom
offset from the most stable computed form	182	meV/atom
theoretical density	5.20	g cm⁻³
spin magnetization	0.0	μB per formula unit
energy of formation from the pure elements	1.004	eV per atom

Cell: 7.154 7.154 7.154 Å, 90.00 90.00 90.00°
Fractional positions:
Sm1 0.000 0.000 0.000
Sm2 0.000 0.500 0.500
Sm3 0.500 0.000 0.500
Sm4 0.500 0.500 0.000
Zr1 0.250 0.250 0.250
Zr2 0.250 0.750 0.750
Zr3 0.750 0.250 0.750
Zr4 0.750 0.750 0.250
Sc1 0.250 0.250 0.750
Sc2 0.250 0.750 0.250
Sc3 0.750 0.250 0.250
Sc4 0.750 0.750 0.750

A geometry-optimized AcHfGa structure, computed with PBE.

Calculated values
space group	No. 216
calculated total energy	-4.719	eV per atom
offset from the most stable computed form	780	meV/atom
theoretical density	7.99	g cm⁻³
spin magnetization	0.1	μB per formula unit

Cell: 7.338 7.338 7.338 Å, 90.00 90.00 90.00°
Fractional positions:
Ac1 0.000 0.000 0.000
Ac2 0.000 0.500 0.500
Ac3 0.500 0.000 0.500
Ac4 0.500 0.500 0.000
Hf1 0.250 0.250 0.250
Hf2 0.250 0.750 0.750
Hf3 0.750 0.250 0.750
Hf4 0.750 0.750 0.250
Ga1 0.250 0.250 0.750
Ga2 0.250 0.750 0.250
Ga3 0.750 0.250 0.250
Ga4 0.750 0.750 0.750